1 | CeTm2O: optimized geometry, GGA-PBE.

a = 3.110 Å, b = 3.110 Å, c = 8.578 Å
α = 90.00°, β = 90.00°, γ = 90.00°
Last column: magnetic moment on the atom in μB.
Positions (direct):
1 O 0.500 0.500 0.000  0.00
2 Tm 0.000 0.000 0.821  0.04
3 Tm 0.000 0.000 0.179  0.04
4 Ce 0.500 0.500 0.500  0.27

Properties
- magnetization (μB/cell) = 0.4
- calculated density (g cm⁻³) = 9.89
- DOS at the Fermi energy (states/eV/atom) = 1.491
- space-group type = No. 123

2 | CeTm2O: optimized geometry, GGA-PBE.

a = 3.405 Å, b = 3.405 Å, c = 8.892 Å
α = 78.96°, β = 78.96°, γ = 60.00°
Last column: magnetic moment on the atom in μB.
Positions (direct):
1 Tm 0.279 0.279 0.162  0.02
2 Tm 0.721 0.721 0.838  0.02
3 O 0.000 0.000 0.000  0.00
4 Ce 0.500 0.500 0.500  0.54

Properties
- magnetization (μB/cell) = 0.7
- calculated density (g cm⁻³) = 9.42
- DOS at the Fermi energy (states/eV/atom) = 1.526
- space-group type = No. 166

Stability ranking, top and bottom: 2 is the most stable and 1 is the least stable.

1 | Ce4UO10: optimized geometry, GGA-PBE.

a = 13.960 Å, b = 13.960 Å, c = 13.960 Å
α = 164.14°, β = 164.14°, γ = 22.50°
Last column: magnetic moment on the atom in μB.
Positions (direct):
1 O 0.250 0.750 0.500  -0.02
2 O 0.351 0.851 0.500  -0.02
3 O 0.851 0.351 0.500  -0.02
4 O 0.750 0.250 0.500  -0.02
5 O 0.547 0.047 0.500  -0.04
6 O 0.149 0.649 0.500  -0.02
7 O 0.453 0.953 0.500  -0.04
8 O 0.047 0.547 0.500  -0.04
9 O 0.953 0.453 0.500  -0.04
10 O 0.649 0.149 0.500  -0.02
11 U 0.000 0.000 0.000  1.30
12 Ce 0.398 0.398 0.000  0.35
13 Ce 0.602 0.602 0.000  0.35
14 Ce 0.800 0.800 0.000  0.27
15 Ce 0.200 0.200 0.000  0.27

Properties
- magnetization (μB/cell) = 2.3
- calculated density (g cm⁻³) = 7.84
- DOS at the Fermi energy (states/eV/atom) = 0.987
- space-group type = No. 139

2 | Ce4UO10: optimized geometry, GGA-PBE.

a = 15.844 Å, b = 15.844 Å, c = 15.844 Å
α = 14.06°, β = 14.06°, γ = 14.06°
Last column: magnetic moment on the atom in μB.
Positions (direct):
1 Ce 0.600 0.600 0.600  0.38
2 Ce 0.400 0.400 0.400  0.38
3 Ce 0.200 0.200 0.200  0.29
4 Ce 0.800 0.800 0.800  0.29
5 O 0.150 0.150 0.150  -0.02
6 O 0.551 0.551 0.551  -0.02
7 O 0.850 0.850 0.850  -0.02
8 O 0.252 0.252 0.252  -0.02
9 O 0.748 0.748 0.748  -0.02
10 O 0.045 0.045 0.045  0.01
11 O 0.347 0.347 0.347  0.03
12 O 0.955 0.955 0.955  0.01
13 O 0.653 0.653 0.653  0.03
14 O 0.449 0.449 0.449  -0.02
15 U 0.000 0.000 0.000  -0.99

Properties
- magnetization (μB/cell) = 0.4
- calculated density (g cm⁻³) = 7.79
- DOS at the Fermi energy (states/eV/atom) = 1.006
- space-group type = No. 166

3 | Ce4UO10: optimized geometry, GGA-PBE.

a = 5.462 Å, b = 6.683 Å, c = 6.683 Å
α = 80.39°, β = 65.88°, γ = 65.88°
Last column: magnetic moment on the atom in μB.
Positions (direct):
1 Ce 0.199 0.400 0.201  0.38
2 Ce 0.401 0.799 0.400  0.38
3 Ce 0.599 0.201 0.600  0.38
4 Ce 0.801 0.600 0.799  0.38
5 U 0.000 0.000 0.000  0.88
6 O 0.661 0.290 0.906  -0.03
7 O 0.951 0.906 0.710  -0.03
8 O 0.049 0.094 0.290  -0.03
9 O 0.857 0.710 0.094  -0.03
10 O 0.339 0.710 0.094  -0.03
11 O 0.250 0.500 0.500  -0.02
12 O 0.750 0.500 0.500  -0.02
13 O 0.143 0.290 0.906  -0.03
14 O 0.567 0.094 0.290  -0.03
15 O 0.433 0.906 0.710  -0.03

Properties
- magnetization (μB/cell) = 2.2
- calculated density (g cm⁻³) = 7.83
- DOS at the Fermi energy (states/eV/atom) = 1.146
- space-group type = No. 87

Stability ranking, top and bottom: 3 is the most stable and 1 is the least stable.